## Mg2CrF (GGA+U)

Data for a geometry-optimized Mg2CrF structure.

## Properties
Density of states at the Fermi level   1.168 states/eV/cell
Energy relative to the lowest polymorph listed for this composition   0.000 eV per atom
Energy   -3.917 eV/atom

a = 6.673 Å, b = 6.673 Å, c = 5.791 Å
α = 54.81°, β = 54.81°, γ = 90.00°
Fractional coordinates of all 8 atoms:
F: 0.250 0.750 0.500
F: 0.500 0.500 0.000
Mg: 0.375 0.468 0.750
Mg: 0.875 0.782 0.750
Mg: 0.218 0.625 0.250
Mg: 0.532 0.125 0.250
Cr: 0.750 0.250 0.500
Cr: 0.000 0.000 0.000